This record from Alexandria via LeMat-Bulk describes a relaxed GaSn2SbH crystal. The functional is GGA-PBE.

The space group is P4/mmm (No. 123) and the conventional cell measures 5.7033, 5.7033 and 3.4156 Å, with angles of 90.00, 90.00 and 90.00 degrees. The inequivalent atoms are Ga at (0.0000, 0.0000, 0.0000), Sn at (0.0000, 0.5000, 0.0000), Sb at (0.5000, 0.5000, 0.5000) and H at (0.0000, 0.0000, 0.5000).

The calculation puts the calculated total energy at -3.55 eV per atom.

This record from Alexandria via LeMat-Bulk describes a relaxed GaSbTe2H crystal. The functional is GGA-PBE.

The space group is P4/mmm (No. 123) and the conventional cell measures 5.5093, 5.5093 and 5.3007 Å, with angles of 90.00, 90.00 and 90.00 degrees. The inequivalent atoms are Ga at (0.0000, 0.0000, 0.0000), Sb at (0.0000, 0.0000, 0.5000), Te at (0.0000, 0.5000, 0.0000) and H at (0.5000, 0.5000, 0.5000).

The calculation puts the calculated total energy at -2.49 eV per atom. For the relative energy among the computed polymorphs, the calculation gives 0.5064 eV per atom.

This record from Alexandria via LeMat-Bulk describes a relaxed GaSbTe2H crystal. The functional is GGA-PBE.

The space group is P4/mmm (No. 123) and the conventional cell measures 5.4058, 5.4058 and 3.9712 Å, with angles of 90.00, 90.00 and 90.00 degrees. The inequivalent atoms are Ga at (0.0000, 0.0000, 0.0000), Sb at (0.5000, 0.5000, 0.0000), Te at (0.0000, 0.5000, 0.5000) and H at (0.5000, 0.5000, 0.5000).

The calculation puts the calculated total energy at -2.99 eV per atom. For the relative energy among the computed polymorphs, the calculation gives 0.0000 eV per atom.

This record from Alexandria via LeMat-Bulk describes a relaxed Ti4GaSbH crystal. The functional is GGA-PBE.

The space group is Cmcm (No. 63) and the conventional cell measures 5.3922, 14.8191 and 5.4204 Å, with angles of 90.00, 90.00 and 90.00 degrees. The inequivalent atoms are Ti at (0.0000, 0.0686, 0.2500), Ti at (0.0000, 0.4231, 0.2500), Ti at (0.2500, 0.2500, 0.0000), Ga at (0.0000, 0.1125, 0.7500), Sb at (0.0000, 0.3904, 0.7500) and H at (0.0000, 0.2887, 0.2500).

The calculation puts the calculated total energy at -6.47 eV per atom.

This record from Alexandria via LeMat-Bulk describes a relaxed TiGaSbH2 crystal. The functional is GGA-PBE.

The space group is P4/mmm (No. 123) and the conventional cell measures 3.7837, 3.7837 and 6.2317 Å, with angles of 90.00, 90.00 and 90.00 degrees. The inequivalent atoms are Ti at (0.0000, 0.0000, 0.0000), Ga at (0.5000, 0.5000, 0.5000), Sb at (0.5000, 0.5000, 0.0000) and H at (0.0000, 0.5000, 0.5000).

The calculation puts the calculated total energy at -4.01 eV per atom.

This record from Alexandria via LeMat-Bulk describes a relaxed TlGa2SbH crystal. The functional is GGA-PBE.

The space group is P4/mmm (No. 123) and the conventional cell measures 5.4941, 5.4941 and 3.7203 Å, with angles of 90.00, 90.00 and 90.00 degrees. The inequivalent atoms are Tl at (0.0000, 0.0000, 0.0000), Ga at (0.0000, 0.5000, 0.0000), Sb at (0.5000, 0.5000, 0.5000) and H at (0.0000, 0.0000, 0.5000).

The calculation puts the calculated total energy at -2.76 eV per atom.